Version P
LiGa3Co | Alexandria | GGA-PBE | relaxed; D(E_F) = 5.609 states/eV per cell
1.0
-3.0808 -2.0413 1.7671
5.0618 -1.9168 6.6110
-2.6634 7.7239 4.2788
Li Ga Co
4 12 4
direct
0.7500 0.7793 0.0303
0.2500 0.7207 0.5303
0.7500 0.2793 0.4697
0.2500 0.2207 0.9697
0.2500 0.4179 0.6821
0.7500 0.9691 0.5843
0.2500 0.2927 0.2675
0.2500 0.0309 0.4157
0.7500 0.7073 0.7325
0.2500 0.9179 0.8179
0.2500 0.5309 0.0843
0.7500 0.4691 0.9157
0.7500 0.0821 0.1821
0.2500 0.7927 0.2325
0.7500 0.2073 0.7675
0.7500 0.5821 0.3179
0.7500 0.3629 0.1604
0.2500 0.6371 0.8396
0.7500 0.8629 0.3396
0.2500 0.1371 0.6604

=====

Version Q
LiGa3Co | Alexandria | GGA-PBE | relaxed; D(E_F) = 6.947 states/eV per cell
1.0
-2.7674 -3.0105 0.5821
0.5025 -1.6615 8.5806
-7.5451 4.2949 1.1251
Co Ga Li
4 12 4
direct
0.2500 0.7520 0.2480
0.7500 0.9157 0.0843
0.2500 0.0843 0.9157
0.7500 0.2480 0.7520
0.6381 0.5258 0.7051
0.6254 0.8701 0.3790
0.1381 0.7051 0.5258
0.8746 0.6210 0.1299
0.6286 0.2109 0.0303
0.3714 0.7891 0.9697
0.8714 0.9697 0.7891
0.3619 0.4742 0.2949
0.1286 0.0303 0.2109
0.3746 0.1299 0.6210
0.1254 0.3790 0.8701
0.8619 0.2949 0.4742
0.5019 0.8239 0.6766
0.4981 0.1761 0.3234
0.0019 0.6766 0.8239
0.9981 0.3234 0.1761

=====

Order of stability, best first: version P, version Q